YHfH3: optimized geometry, GGA-PBE.

```
YHfH3
1.0
3.943 0.000 0.000
0.000 3.943 0.000
0.000 0.000 3.943
Y H Hf
1 3 1
direct
0.000 0.000 0.000
0.000 0.500 0.000
0.000 0.000 0.500
0.500 0.000 0.000
0.500 0.500 0.500
```

Properties
As for the energy above the lowest structure with this stoichiometry: 415 meV/atom. As for the crystal system: cubic. The total energy is -5.1616 eV/atom. The value obtained for the total magnetization is 0.00 μB/cell.

YHf2H8: optimized geometry, GGA-PBE.

```
YHf2H8
1.0
-0.527 -2.827 -1.366
1.702 -2.608 4.742
-5.129 2.764 -0.033
Y Hf H
1 2 8
direct
0.500 0.000 0.000
0.172 0.672 0.343
0.828 0.328 0.657
0.666 0.900 0.333
0.334 0.568 0.667
0.178 0.178 0.356
0.000 0.286 0.000
0.822 0.822 0.644
0.666 0.432 0.333
0.334 0.100 0.667
0.000 0.714 0.000
```

Properties
As for the crystal system: orthorhombic. The total energy is -5.2153 eV/atom. The value obtained for the total magnetization is 0.00 μB/cell.

Y3HfH: optimized geometry, GGA-PBE.

```
Y3HfH
1.0
-4.071 2.410 3.046
-3.656 -3.867 -1.826
1.311 -3.301 4.364
Y H Hf
3 1 1
direct
0.000 0.500 0.000
0.000 0.000 0.500
0.500 0.000 0.000
0.500 0.500 0.500
0.000 0.000 0.000
```

Properties
As for the energy above the lowest structure with this stoichiometry: 1228 meV/atom. As for the crystal system: cubic. The total energy is -5.3515 eV/atom. The value obtained for the total magnetization is 0.00 μB/cell.

YHf2H: optimized geometry, GGA-PBE.

```
YHf2H
1.0
6.223 0.000 0.000
0.000 6.223 0.000
3.111 3.111 4.338
Y H Hf
2 2 4
direct
0.000 0.000 0.000
0.750 0.250 0.500
0.500 0.500 0.000
0.250 0.750 0.500
0.322 0.125 0.250
0.428 0.625 0.250
0.375 0.678 0.750
0.875 0.572 0.750
```

Properties
As for the energy above the lowest structure with this stoichiometry: 0 meV/atom. As for the crystal system: tetragonal. The total energy is -7.3917 eV/atom. The value obtained for the total magnetization is 0.00 μB/cell.